Record 1
## CaAl2Te2 (PBE)

Data for crystalline CaAl2Te2 at its relaxed geometry.

- Fermi-level density of states (states/eV/cell) = 1.88
- uncorrected formation energy (eV per atom) = -0.426
- volume (Å³/cell) = 135.8
- E (eV/f.u.) = -17.90
- offset from the most stable computed form (kJ/mol of formula units) = 0.0

Lattice parameters (Å, degrees): 5.8854 5.8854 5.8854 123.45 123.45 84.12
With the nearest neighbours (Å) after each atom.
Element x y z (fractional)
1 Ca 0.0000 0.0000 0.0000  2 Al 3.07
2 Al 0.3510 0.3510 0.0000  1 Al 2.61
3 Al 0.6490 0.6490 0.0000  1 Al 2.61
4 Te 0.2500 0.7500 0.5000  4 Al 2.92
5 Te 0.7500 0.2500 0.5000  4 Al 2.92

Record 2
## Rb2LiTl6 (PBE)

Data for crystalline Rb2LiTl6 at its relaxed geometry.

- Fermi-level density of states (states/eV/cell) = 5.05
- volume (Å³/cell) = 307.3
- E (eV/f.u.) = -18.68
- calculated formation energy (eV per formula unit) = -0.64

Lattice parameters (Å, degrees): 6.7532 6.7540 8.2372 98.42 110.59 112.49
With the nearest neighbours (Å) after each atom.
Element x y z (fractional)
1 Rb 0.0732 0.2893 0.3662  9 Tl 3.70-4.11, 1 Rb 3.97, 1 Li 4.01
2 Rb 0.9268 0.7107 0.6338  9 Tl 3.70-4.11, 1 Rb 3.97, 1 Li 4.01
3 Li 0.5000 0.0000 0.5000  6 Tl 3.03-3.22
4 Tl 0.0136 0.2821 0.8539  1 Li 3.22, 5 Tl 3.25-3.47
5 Tl 0.4291 0.1591 0.1475  1 Li 3.19, 5 Tl 3.25-3.47
6 Tl 0.5004 0.3099 0.8063  1 Li 3.03, 4 Tl 3.25-3.38
7 Tl 0.4996 0.6901 0.1937  1 Li 3.03, 4 Tl 3.25-3.38
8 Tl 0.5709 0.8409 0.8525  1 Li 3.19, 5 Tl 3.25-3.47
9 Tl 0.9864 0.7179 0.1461  1 Li 3.22, 5 Tl 3.25-3.47